ScAlPt2 after structural relaxation, computed with PBE.

The structure in POSCAR format:
```
ScAlPt2
1.0
-3.526 3.526 2.880
3.526 -3.526 2.880
3.526 3.526 -2.880
Sc Al Pt
2 2 4
Cartesian
0.000 0.000 0.000
0.000 3.526 1.440
3.526 0.000 1.440
0.000 0.000 2.880
1.763 -1.567 2.160
1.959 1.763 0.720
1.763 5.093 -0.720
1.567 1.763 3.600
```

## Properties
* formation energy: -0.748 eV/atom
* total magnetic moment: 0.000 μB per atom